# Th2Ge5Pd3, relaxed, DFT PBE-GGA
data_Th2Ge5Pd3
_chemical_formula_sum 'Th4 Ge10 Pd6'
_symmetry_space_group_name_H-M 'P 1'
_symmetry_Int_Tables_number 1
_cell_length_a 6.283
_cell_length_b 8.542
_cell_length_c 8.542
_cell_angle_alpha 73.31
_cell_angle_beta 68.42
_cell_angle_gamma 68.42
loop_
_symmetry_equiv_pos_as_xyz
'x,y,z'
loop_
_atom_site_label
_atom_site_fract_x
_atom_site_fract_y
_atom_site_fract_z
Pd1 0.750 0.000 0.000
Pd2 0.145 0.245 0.465
Pd3 0.855 0.755 0.535
Pd4 0.355 0.535 0.755
Pd5 0.645 0.465 0.245
Pd6 0.250 0.000 0.000
Ge1 0.972 0.778 0.778
Ge2 0.472 0.778 0.778
Ge3 0.605 0.740 0.049
Ge4 0.528 0.222 0.222
Ge5 0.028 0.222 0.222
Ge6 0.250 0.500 0.500
Ge7 0.750 0.500 0.500
Ge8 0.105 0.049 0.740
Ge9 0.395 0.260 0.951
Ge10 0.895 0.951 0.260
Th1 0.372 0.856 0.400
Th2 0.628 0.144 0.600
Th3 0.128 0.600 0.144
Th4 0.872 0.400 0.856
# * total magnetic moment: 0.000 μB per formula unit
# * electronic total energy: -6.05 eV/atom